First-principles (PBE) data for a relaxed CaPm2CdO crystal, as listed in Alexandria via LeMat-Bulk.

Output
Formation energy from raw total energies: -6.33 eV/f.u.
Symmetry: No. 123
M_tot: 0.0 μB per formula unit
Crystal system: tetragonal

The structure in extended XYZ format:
```
5
Lattice="-0.8133 0.0047 4.7723 3.1611 -3.7970 0.5425 3.7436 3.2073 0.6348" Properties=species:S:1:pos:R:3 pbc="T T T"
Ca -0.4066 0.0024 2.3861
Pm 1.8718 1.6037 0.3174
Pm 1.5806 -1.8985 0.2712
Cd 3.0457 -0.2925 2.9748
O 0.0000 0.0000 0.0000
```